Entry 1:
# MgCoIr2 | the Alexandria database | PBE-GGA | relaxed
# space group	P4/mmm (123)
# magnetic moment	1.0	μB per cell
# raw total energy	-26.5	eV for the cell shown
# N(E_F)	5.91	states/eV/f.u.
# formation energy	-18	meV per atom
data_MgCoIr2
_chemical_formula_sum 'Mg1 Co1 Ir2'
_cell_length_a 3.730
_cell_length_b 3.861
_cell_length_c 3.861
_cell_angle_alpha 90.00
_cell_angle_beta 90.00
_cell_angle_gamma 90.00
_space_group_name_H-M_alt 'P 1'
_space_group_IT_number 1
loop_
_space_group_symop_operation_xyz
'x,y,z'
loop_
_atom_site_label
_atom_site_type_symbol
_atom_site_fract_x
_atom_site_fract_y
_atom_site_fract_z
Co1 Co 0.500 0.000 0.500
Ir1 Ir 0.000 0.000 0.000
Ir2 Ir 0.000 0.500 0.500
Mg1 Mg 0.500 0.500 0.000

=====

Entry 2:
# TbPm4Zn4 | the Alexandria database | PBE-GGA | relaxed
# space group	P4_2/n (86)
# magnetic moment	0.0	μB per cell
# raw total energy	-58.8	eV for the cell shown
# N(E_F)	9.53	states/eV/f.u.
# formation energy	-77	meV per atom
data_TbPm4Zn4
_chemical_formula_sum 'Tb2 Pm8 Zn8'
_cell_length_a 6.372
_cell_length_b 8.804
_cell_length_c 8.804
_cell_angle_alpha 90.00
_cell_angle_beta 90.00
_cell_angle_gamma 90.00
_space_group_name_H-M_alt 'P 1'
_space_group_IT_number 1
loop_
_space_group_symop_operation_xyz
'x,y,z'
loop_
_atom_site_label
_atom_site_type_symbol
_atom_site_fract_x
_atom_site_fract_y
_atom_site_fract_z
Tb1 Tb 0.000 0.000 0.000
Tb2 Tb 0.500 0.500 0.500
Pm1 Pm 0.395 0.279 0.907
Pm2 Pm 0.895 0.593 0.779
Pm3 Pm 0.395 0.721 0.093
Pm4 Pm 0.105 0.221 0.593
Pm5 Pm 0.605 0.907 0.721
Pm6 Pm 0.105 0.779 0.407
Pm7 Pm 0.895 0.407 0.221
Pm8 Pm 0.605 0.093 0.279
Zn1 Zn 0.645 0.775 0.384
Zn2 Zn 0.645 0.225 0.616
Zn3 Zn 0.145 0.884 0.725
Zn4 Zn 0.855 0.275 0.884
Zn5 Zn 0.855 0.725 0.116
Zn6 Zn 0.355 0.384 0.225
Zn7 Zn 0.355 0.616 0.775
Zn8 Zn 0.145 0.116 0.275

=====

Entry 3:
# LiSm2NpS6 | the Alexandria database | PBE-GGA | relaxed
# formation energy from raw total energies	-1.60	eV/atom
# space group	P2_1/c (14)
# magnetic moment	4.0	μB per cell
# raw total energy	-130.1	eV for the cell shown
# N(E_F)	7.28	states/eV/f.u.
data_LiSm2NpS6
_chemical_formula_sum 'Li2 Sm4 Np2 S12'
_cell_length_a 6.542
_cell_length_b 7.148
_cell_length_c 9.690
_cell_angle_alpha 90.00
_cell_angle_beta 85.99
_cell_angle_gamma 90.00
_space_group_name_H-M_alt 'P 1'
_space_group_IT_number 1
loop_
_space_group_symop_operation_xyz
'x,y,z'
loop_
_atom_site_label
_atom_site_type_symbol
_atom_site_fract_x
_atom_site_fract_y
_atom_site_fract_z
Li1 Li 0.500 0.000 0.000
Li2 Li 0.000 0.500 0.500
Sm1 Sm 0.045 0.902 0.262
Sm2 Sm 0.545 0.598 0.762
Sm3 Sm 0.955 0.098 0.738
Sm4 Sm 0.455 0.402 0.238
Np1 Np 0.500 0.000 0.500
Np2 Np 0.000 0.500 0.000
S1 S 0.319 0.686 0.061
S2 S 0.819 0.814 0.561
S3 S 0.681 0.314 0.939
S4 S 0.181 0.186 0.439
S5 S 0.322 0.691 0.424
S6 S 0.822 0.809 0.924
S7 S 0.678 0.309 0.576
S8 S 0.178 0.191 0.076
S9 S 0.853 0.551 0.250
S10 S 0.353 0.949 0.750
S11 S 0.147 0.449 0.750
S12 S 0.647 0.051 0.250

=====

Entry 4:
# PrInS3 | the Alexandria database | PBE-GGA | relaxed
# E above lowest polymorph	0.000	eV/atom
# formation energy from raw total energies	-1.26	eV/atom
# space group	Pnma (62)
# magnetic moment	0.0	μB per cell
# raw total energy	-104.8	eV for the cell shown
data_PrInS3
_chemical_formula_sum 'Pr4 In4 S12'
_cell_length_a 3.904
_cell_length_b 8.119
_cell_length_c 14.193
_cell_angle_alpha 90.00
_cell_angle_beta 90.00
_cell_angle_gamma 90.00
_space_group_name_H-M_alt 'P 1'
_space_group_IT_number 1
loop_
_space_group_symop_operation_xyz
'x,y,z'
loop_
_atom_site_label
_atom_site_type_symbol
_atom_site_fract_x
_atom_site_fract_y
_atom_site_fract_z
Pr1 Pr 0.750 0.857 0.810
Pr2 Pr 0.250 0.143 0.190
Pr3 Pr 0.750 0.357 0.690
Pr4 Pr 0.250 0.643 0.310
In1 In 0.250 0.316 0.950
In2 In 0.250 0.816 0.550
In3 In 0.750 0.184 0.450
In4 In 0.750 0.684 0.050
S1 S 0.250 0.343 0.539
S2 S 0.750 0.852 0.206
S3 S 0.750 0.498 0.884
S4 S 0.750 0.998 0.616
S5 S 0.750 0.657 0.461
S6 S 0.250 0.002 0.384
S7 S 0.250 0.843 0.961
S8 S 0.750 0.352 0.294
S9 S 0.250 0.648 0.706
S10 S 0.250 0.148 0.794
S11 S 0.750 0.157 0.039
S12 S 0.250 0.502 0.116